# 1
{"formula": "Ho2GaCo3Ni12", "functional": "PBE", "state": "optimized geometry", "cell": [[4.123, 2.381, 3.999], [-4.123, 2.381, 3.999], [0.000, -4.761, 3.999]], "species": ["Ho", "Ho", "Ga", "Co", "Co", "Co", "Ni", "Ni", "Ni", "Ni", "Ni", "Ni", "Ni", "Ni", "Ni", "Ni", "Ni", "Ni"], "frac_coords": [[0.225, 0.225, 0.225], [0.775, 0.775, 0.775], [0.500, 0.500, 0.500], [0.000, 0.500, 0.500], [0.500, 0.000, 0.500], [0.500, 0.500, 0.000], [0.080, 0.080, 0.646], [0.080, 0.646, 0.080], [0.225, 0.700, 0.700], [0.300, 0.300, 0.775], [0.300, 0.775, 0.300], [0.354, 0.920, 0.920], [0.646, 0.080, 0.080], [0.700, 0.225, 0.700], [0.700, 0.700, 0.225], [0.775, 0.300, 0.300], [0.920, 0.354, 0.920], [0.920, 0.920, 0.354]], "formation_enthalpy_0k_ev_per_atom": 0.005, "total_magnetization_mub_per_cell": 8.3}

# 2
{"formula": "AlCd2", "functional": "PBE", "state": "optimized geometry", "cell": [[4.924, 0.000, 0.000], [-2.462, 4.264, 0.000], [0.000, 0.000, 6.286]], "species": ["Al", "Al", "Cd", "Cd", "Cd", "Cd"], "frac_coords": [[0.333, 0.667, 0.250], [0.667, 0.333, 0.750], [0.000, 0.000, 0.000], [0.000, 0.000, 0.500], [0.333, 0.667, 0.750], [0.667, 0.333, 0.250]], "formation_enthalpy_0k_ev_per_atom": 0.188, "total_magnetization_mub_per_cell": 0.0}

# 3
{"formula": "PrTcP2Ir", "functional": "PBE", "state": "optimized geometry", "cell": [[4.083, 0.000, 0.000], [0.000, 4.083, 0.000], [0.000, 0.000, 10.622]], "species": ["Pr", "Pr", "Tc", "Tc", "P", "P", "P", "P", "Ir", "Ir"], "frac_coords": [[0.000, 0.000, 0.000], [0.500, 0.500, 0.500], [0.000, 0.500, 0.250], [0.500, 0.000, 0.750], [0.000, 0.000, 0.362], [0.000, 0.000, 0.638], [0.500, 0.500, 0.138], [0.500, 0.500, 0.862], [0.000, 0.500, 0.750], [0.500, 0.000, 0.250]], "formation_enthalpy_0k_ev_per_atom": -0.938, "total_magnetization_mub_per_cell": 0.0}

Number 1: ρ 9.03 g/cm³. Number 2: ρ 6.34 g/cm³. Number 3: ρ 9.25 g/cm³.